# 1
The following is a DFT calculation (PBE) of LaY after structural relaxation.

Cell: 3.6747 3.6747 11.9074 Å, 90.00 90.00 120.00°
Space group P-3m1 (No. 164)
Symmetry-distinct sites (fractional):
La  0.3333  0.6667  0.3661
Y  0.3333  0.6667  0.8818

- DFT formation energy (eV/atom) = 0.025
- calculated volume (Å³ per atom) = 34.8
- VASP energy (Ha/atom) = -0.208

# 2
The following is a DFT calculation (PBE) of ZnTcPd2 after structural relaxation.

Cell: 3.790 3.790 17.868 Å, 90.00 90.00 90.00°
Space group I-42d (No. 122)
Symmetry-distinct sites (fractional):
Zn  0.000  0.000  0.000
Tc  0.000  0.000  0.500
Pd  0.250  0.250  0.125

- DFT formation energy (eV/atom) = 0.368
- calculated volume (Å³ per atom) = 16.0
- VASP energy (Ha/atom) = -0.189